[1]
AcZn5Cd7 | Alexandria | PBE | optimized geometry; DOS at the Fermi energy = 2.71 states/eV/cell; crystal system = orthorhombic; total DFT energy (no corrections) = -1.43 eV per atom; V = 269 Å³/cell
1.0
-3.667 3.186 -3.023
0.610 -1.110 -7.323
-6.479 -3.442 -1.183
Zn Cd Ac
5 7 1
Cartesian
-6.349 0.325 -10.885
-9.778 -0.804 -7.915
-7.958 -2.385 -6.415
-4.529 -1.257 -9.385
-7.212 -1.235 -8.795
-2.324 -0.132 -2.734
-4.433 0.495 -4.930
-5.547 1.238 -8.208
-6.787 -1.342 -4.009
-5.096 -1.836 -6.581
-7.667 0.541 -6.371
-2.745 -0.012 -7.510
-5.862 -4.528 -8.488

---

[2]
SrNb3Ag | Alexandria | PBE | optimized geometry; DOS at the Fermi energy = 5.62 states/eV/cell; crystal system = cubic; total DFT energy (no corrections) = -4.42 eV per atom; relative energy among the computed polymorphs = 0.934 eV per atom; V = 115 Å³/cell
1.0
4.856 0.000 0.000
0.000 4.856 0.000
0.000 0.000 4.856
Ag Nb Sr
1 3 1
Cartesian
2.428 2.428 2.428
0.000 2.428 0.000
2.428 0.000 0.000
0.000 0.000 2.428
0.000 0.000 0.000

---

[3]
ScTa2Mo | Alexandria | PBE | optimized geometry; DOS at the Fermi energy = 3.93 states/eV/cell; crystal system = monoclinic; total DFT energy (no corrections) = -9.99 eV per atom; relative energy among the computed polymorphs = 0.173 eV per atom; V = 74 Å³/cell
1.0
-0.739 -4.948 -0.455
1.984 -4.608 -0.270
-0.320 -0.439 5.510
Ta Sc Mo
2 1 1
Cartesian
0.238 -2.559 1.212
-0.318 -0.451 5.507
0.687 -7.446 3.590
0.460 -4.974 2.379

---

[4]
La2CrPt2 | Alexandria | PBE | optimized geometry; DOS at the Fermi energy = 21.97 states/eV/cell; crystal system = tetragonal; total DFT energy (no corrections) = -6.70 eV per atom; V = 227 Å³/cell
1.0
-5.704 -2.178 -3.568
-3.518 -0.758 6.087
-1.448 4.289 -0.303
La Cr Pt
4 2 4
Cartesian
-3.201 1.299 -0.279
-4.066 1.262 3.324
-6.604 0.091 -1.108
-7.469 0.054 2.495
-4.611 -1.468 1.260
0.000 0.000 0.000
-2.076 -0.585 1.645
-4.188 -1.514 -1.419
-5.034 -1.422 3.938
-7.146 -2.351 0.874

---

Please write out number 4 again, unchanged.
La2CrPt2 | Alexandria | PBE | optimized geometry; DOS at the Fermi energy = 21.97 states/eV/cell; crystal system = tetragonal; total DFT energy (no corrections) = -6.70 eV per atom; V = 227 Å³/cell
1.0
-5.704 -2.178 -3.568
-3.518 -0.758 6.087
-1.448 4.289 -0.303
La Cr Pt
4 2 4
Cartesian
-3.201 1.299 -0.279
-4.066 1.262 3.324
-6.604 0.091 -1.108
-7.469 0.054 2.495
-4.611 -1.468 1.260
0.000 0.000 0.000
-2.076 -0.585 1.645
-4.188 -1.514 -1.419
-5.034 -1.422 3.938
-7.146 -2.351 0.874

---

- The lowest V belongs to which entry?
  ScTa2Mo

---

- Among the records above, which one has the highest total DFT energy (no corrections)?
  AcZn5Cd7